(1)
Density functional theory data (PBE-GGA) for a relaxed structure of Hg2CN.

```
Hg2CN
1.0
-1.8676 -5.1278 -0.7958
3.6365 -0.6899 -4.0885
3.9433 -4.4864 0.5447
C Hg N
2 4 2
direct
0.5000 0.5000 0.0000
0.2500 0.7500 0.5000
0.6219 0.1250 0.2500
0.1281 0.6250 0.2500
0.3750 0.3781 0.7500
0.8750 0.8719 0.7500
0.0000 0.0000 0.0000
0.7500 0.2500 0.5000
```

Computed properties:
The raw formation energy comes out at 1.924 eV/atom. Its total energy is -20.91 eV/cell. For the total magnetic moment, the calculation gives 0.00 μB per formula unit. The value obtained for the distance to the lowest polymorph of the same formula is 0 meV/atom. As for the density of states at the Fermi level: 6.99 states/eV per cell.

(2)
Density functional theory data (PBE-GGA) for a relaxed structure of LiHfO.

```
LiHfO
1.0
-1.1357 -0.1203 2.9307
1.9634 -0.3331 2.4347
0.9272 10.4484 1.1255
Li Hf O
2 2 2
direct
0.1869 0.1934 0.1606
0.8131 0.8066 0.8394
0.1597 0.1576 0.6153
0.8403 0.8424 0.3847
0.4852 0.4805 0.7461
0.5148 0.5195 0.2539
```

Computed properties:
The raw formation energy comes out at -1.776 eV/atom. Its total energy is -44.31 eV/cell. For the total magnetic moment, the calculation gives 0.00 μB per formula unit. The value obtained for the distance to the lowest polymorph of the same formula is 0 meV/atom. As for the density of states at the Fermi level: 1.21 states/eV per cell.

(3)
Density functional theory data (PBE-GGA) for a relaxed structure of BeRuPb2.

```
BeRuPb2
1.0
-1.8979 1.5090 3.1273
-3.4768 -1.3748 -1.4467
-1.0712 -4.9507 1.7386
Pb Ru Be
2 1 1
direct
0.0000 0.9779 0.9195
0.5000 0.2734 0.3274
0.0000 0.6809 0.5127
0.5000 0.5678 0.7404
```

Computed properties:
Its total energy is -19.30 eV/cell. For the total magnetic moment, the calculation gives 0.00 μB per formula unit. As for the energy of formation from the pure elements: 280 meV per atom. The value obtained for the distance to the lowest polymorph of the same formula is 111 meV/atom. As for the density of states at the Fermi level: 3.26 states/eV per cell.

(4)
Density functional theory data (PBE-GGA) for a relaxed structure of Nd12Dy3Sc.

```
Nd12Dy3Sc
1.0
-3.9812 -3.2259 -0.3147
2.0926 -2.9388 3.6524
-9.8816 10.7957 14.3481
Nd Dy Sc
12 3 1
direct
0.5000 0.5000 0.0000
0.5000 0.5000 0.2475
0.5000 0.5000 0.5000
0.5000 0.5000 0.7525
0.5000 0.0000 0.1214
0.5000 0.0000 0.3738
0.5000 0.0000 0.6262
0.5000 0.0000 0.8786
0.0000 0.5000 0.1214
0.0000 0.5000 0.3738
0.0000 0.5000 0.6262
0.0000 0.5000 0.8786
0.0000 0.0000 0.2476
0.0000 0.0000 0.5000
0.0000 0.0000 0.7524
0.0000 0.0000 0.0000
```

Computed properties:
Its total energy is -77.03 eV/cell. For the total magnetic moment, the calculation gives 0.00 μB per formula unit. As for the energy of formation from the pure elements: 20 meV per atom. As for the density of states at the Fermi level: 23.80 states/eV per cell.

Q: Which formula does entry 4 have?
A: Nd12Dy3Sc